[1]
VFe2: optimized geometry, GGA-PBE.

* ΔE_f: 0.125 eV per atom
* DOS at the Fermi energy: 1.07 states/eV per atom
* SG: Cmce, No. 64
* mass density: 7.4 g/cm³

abc: 3.4342 3.4342 12.3290
angles: 90.00 90.00 92.49
With the nearest neighbours (Å) after each atom.
Positions (direct):
Fe  0.1353  0.3647  0.7500  8 Fe 2.38-2.63, 4 V 2.60-2.64
Fe  0.3647  0.1353  0.2500  8 Fe 2.38-2.63, 4 V 2.60-2.64
Fe  0.6353  0.8647  0.7500  8 Fe 2.38-2.63, 4 V 2.60-2.64
Fe  0.6375  0.3625  0.5887  5 V 2.38-2.51, 5 Fe 2.58-2.63
Fe  0.8625  0.1375  0.0887  5 V 2.38-2.51, 5 Fe 2.58-2.63
Fe  0.3625  0.6375  0.4113  5 V 2.38-2.51, 5 Fe 2.58-2.63
Fe  0.1375  0.8625  0.9113  5 V 2.38-2.51, 5 Fe 2.58-2.63
Fe  0.8647  0.6353  0.2500  8 Fe 2.38-2.63, 4 V 2.60-2.64
V  0.8561  0.1439  0.4100  9 Fe 2.38-2.64, 1 V 2.64
V  0.1439  0.8561  0.5900  9 Fe 2.38-2.64, 1 V 2.64
V  0.3561  0.6439  0.0900  9 Fe 2.38-2.64, 1 V 2.64
V  0.6439  0.3561  0.9100  9 Fe 2.38-2.64, 1 V 2.64

---

[2]
La4Tb2Sm5: optimized geometry, GGA-PBE.

* ΔE_f: 0.078 eV per atom
* DOS at the Fermi energy: 1.64 states/eV per atom
* SG: C2/m, No. 12
* mass density: 7.1 g/cm³
* energy above the lowest structure with this stoichiometry: 0.000 eV/atom

abc: 3.5880 11.8839 9.1670
angles: 94.24 101.29 90.00
With the nearest neighbours (Å) after each atom.
Positions (direct):
Sm  0.5000  0.0000  0.0000  6 Sm 3.59-3.72, 6 La 3.62-3.64
Sm  0.0966  0.5392  0.1932  4 La 3.37-3.57, 3 Tb 3.48-3.61, 3 Sm 3.53-3.59
Sm  0.1787  0.0727  0.3575  4 La 3.49-3.77, 6 Sm 3.59-3.72, 2 Tb 3.87
Sm  0.9034  0.4608  0.8068  4 La 3.37-3.57, 3 Tb 3.48-3.61, 3 Sm 3.53-3.59
Sm  0.8213  0.9273  0.6425  4 La 3.49-3.77, 6 Sm 3.59-3.72, 2 Tb 3.87
Tb  0.7162  0.3604  0.4324  5 Sm 3.48-3.87, 4 Tb 3.59-3.89, 4 La 3.74-3.77
Tb  0.2838  0.6396  0.5676  5 Sm 3.48-3.87, 4 Tb 3.59-3.89, 4 La 3.74-3.77
La  0.3590  0.2043  0.7180  6 Sm 3.49-3.77, 4 La 3.59-3.72, 2 Tb 3.74
La  0.9611  0.7373  0.9222  5 Sm 3.37-3.62, 4 La 3.59-3.72, 2 Tb 3.77
La  0.0389  0.2627  0.0778  5 Sm 3.37-3.62, 4 La 3.59-3.72, 2 Tb 3.77
La  0.6410  0.7957  0.2820  6 Sm 3.49-3.77, 4 La 3.59-3.72, 2 Tb 3.74

---

Question: Among the records above, which one has the highest DOS at the Fermi energy?
Answer: La4Tb2Sm5